First-principles (PBE-GGA) data for an optimized crystal structure of Pa2PS3, as listed in Alexandria.

Values from the calculation:
**Raw total energy**: -7.49 eV per atom
**Formation energy without anion corrections**: -1357 meV per atom
**Space-group type**: No. 12
**Crystal system**: monoclinic

Geometry as POSCAR:
```
Pa2PS3
1.0
4.2891 0.0000 0.0000
-2.1445 9.2081 -1.2897
0.0000 -5.7075 7.9858
S P Pa
6 2 4
Direct
0.3951 0.7903 0.3701 S
0.6145 0.2290 0.1546 S
0.6049 0.2097 0.6299 S
0.1144 0.2289 0.4018 S
0.3855 0.7710 0.8454 S
0.8856 0.7711 0.5982 S
0.1514 0.3028 0.9518 P
0.8486 0.6972 0.0482 P
0.5068 0.0135 0.7703 Pa
0.4932 0.9865 0.2297 Pa
0.7749 0.5498 0.2157 Pa
0.2251 0.4502 0.7843 Pa
```